{"formula": "TbZr2C3", "functional": "GGA-PBE", "state": "optimized geometry", "total_energy_ev_per_atom": -8.75, "sg": "P-3m1 (164)", "cell": [[3.4072, 0.0000, 0.0000], [-1.7036, 2.9507, 0.0000], [0.0000, 0.0000, 8.4398]], "species": ["Tb", "Zr", "Zr", "C", "C", "C"], "frac_coords": [[0.0000, 0.0000, 0.0000], [0.3333, 0.6667, 0.6615], [0.6667, 0.3333, 0.3385], [0.0000, 0.0000, 0.5000], [0.3333, 0.6667, 0.1862], [0.6667, 0.3333, 0.8138]]}

---

{"formula": "AlAsH6W", "functional": "GGA-PBE", "state": "optimized geometry", "total_energy_ev_per_atom": -3.78, "sg": "F-43m (216)", "cell": [[0.0000, 3.1645, 3.1645], [3.1645, 0.0000, 3.1645], [3.1645, 3.1645, 0.0000]], "species": ["Al", "As", "H", "H", "H", "H", "H", "H", "W"], "frac_coords": [[0.0000, 0.0000, 0.0000], [0.7500, 0.7500, 0.7500], [0.0862, 0.0862, 0.4138], [0.0862, 0.4138, 0.0862], [0.0862, 0.4138, 0.4138], [0.4138, 0.0862, 0.0862], [0.4138, 0.0862, 0.4138], [0.4138, 0.4138, 0.0862], [0.5000, 0.5000, 0.5000]]}

---

{"formula": "RbTcTeAuSe2", "functional": "GGA-PBE", "state": "optimized geometry", "total_energy_ev_per_atom": -4.39, "sg": "Cmcm (63)", "cell": [[1.8980, -8.2632, 0.0000], [1.8980, 8.2632, 0.0000], [0.0000, 0.0000, 10.5466]], "species": ["Rb", "Rb", "Tc", "Tc", "Te", "Te", "Au", "Au", "Se", "Se", "Se", "Se"], "frac_coords": [[0.2376, 0.7624, 0.7500], [0.7624, 0.2376, 0.2500], [0.0000, 0.0000, 0.0000], [0.0000, 0.0000, 0.5000], [0.0680, 0.9320, 0.2500], [0.9320, 0.0680, 0.7500], [0.4391, 0.5609, 0.2500], [0.5609, 0.4391, 0.7500], [0.3922, 0.6078, 0.0230], [0.3922, 0.6078, 0.4770], [0.6078, 0.3922, 0.5230], [0.6078, 0.3922, 0.9770]]}

---

{"formula": "HfGaB", "functional": "GGA-PBE", "state": "optimized geometry", "total_energy_ev_per_atom": -6.59, "sg": "F-43m (216)", "cell": [[0.0000, 2.7830, 2.7830], [2.7830, 0.0000, 2.7830], [2.7830, 2.7830, 0.0000]], "species": ["Hf", "Ga", "B"], "frac_coords": [[0.0000, 0.0000, 0.0000], [0.5000, 0.5000, 0.5000], [0.7500, 0.7500, 0.7500]]}

---

{"formula": "HfPdPb", "functional": "GGA-PBE", "state": "optimized geometry", "total_energy_ev_per_atom": -6.53, "sg": "I4mm (107)", "cell": [[-1.7136, 1.7136, 5.3058], [1.7136, -1.7136, 5.3058], [1.7136, 1.7136, -5.3058]], "species": ["Hf", "Pd", "Pb"], "frac_coords": [[0.0000, 0.0000, 0.0000], [0.3703, 0.3703, 0.0000], [0.6957, 0.6957, 0.0000]]}

---

{"formula": "FeHgPbSe3", "functional": "GGA-PBE", "state": "optimized geometry", "total_energy_ev_per_atom": -3.95, "sg": "Cmcm (63)", "cell": [[2.0247, -6.8328, 0.0000], [2.0247, 6.8328, 0.0000], [0.0000, 0.0000, 11.3395]], "species": ["Fe", "Fe", "Hg", "Hg", "Pb", "Pb", "Se", "Se", "Se", "Se", "Se", "Se"], "frac_coords": [[0.0481, 0.9519, 0.7500], [0.9519, 0.0481, 0.2500], [0.5000, 0.5000, 0.0000], [0.5000, 0.5000, 0.5000], [0.2549, 0.7451, 0.2500], [0.7451, 0.2549, 0.7500], [0.1490, 0.8510, 0.5802], [0.1490, 0.8510, 0.9198], [0.4435, 0.5565, 0.7500], [0.5565, 0.4435, 0.2500], [0.8510, 0.1490, 0.0802], [0.8510, 0.1490, 0.4198]]}

---

{"formula": "Fe2Ir", "functional": "GGA-PBE", "state": "optimized geometry", "formation_energy_mev_per_atom": 1037.6, "total_energy_ev_per_atom": -7.45, "sg": "P4_2/mnm (136)", "cell": [[5.0254, 0.0000, 0.0000], [0.0000, 5.0254, 0.0000], [0.0000, 0.0000, 4.2469]], "species": ["Fe", "Fe", "Fe", "Fe", "Ir", "Ir"], "frac_coords": [[0.1673, 0.1673, 0.0000], [0.3327, 0.6673, 0.5000], [0.6673, 0.3327, 0.5000], [0.8327, 0.8327, 0.0000], [0.0000, 0.0000, 0.5000], [0.5000, 0.5000, 0.0000]]}

---

{"formula": "RbCoGeTe3", "functional": "GGA-PBE", "state": "optimized geometry", "total_energy_ev_per_atom": -4.00, "sg": "P2_1/m (11)", "cell": [[9.1430, 0.0000, 0.0000], [0.0000, 3.9919, 0.0000], [-4.1483, 0.0000, 10.2110]], "species": ["Rb", "Rb", "Co", "Co", "Ge", "Ge", "Te", "Te", "Te", "Te", "Te", "Te"], "frac_coords": [[0.2202, 0.2500, 0.2669], [0.7798, 0.7500, 0.7331], [0.3691, 0.7500, 0.8477], [0.6309, 0.2500, 0.1523], [0.1126, 0.2500, 0.5469], [0.8874, 0.7500, 0.4531], [0.1648, 0.2500, 0.8038], [0.3423, 0.7500, 0.5986], [0.4339, 0.7500, 0.0930], [0.5661, 0.2500, 0.9070], [0.6577, 0.2500, 0.4014], [0.8352, 0.7500, 0.1962]]}

---

{"formula": "HfAlFe", "functional": "GGA-PBE", "state": "optimized geometry", "total_energy_ev_per_atom": -7.73, "sg": "Pnma (62)", "cell": [[6.1948, 0.0000, 0.0000], [0.0000, 3.8773, 0.0000], [0.0000, 0.0000, 7.6677]], "species": ["Hf", "Hf", "Hf", "Hf", "Al", "Al", "Al", "Al", "Fe", "Fe", "Fe", "Fe"], "frac_coords": [[0.0339, 0.2500, 0.1743], [0.4661, 0.7500, 0.6743], [0.5339, 0.2500, 0.3257], [0.9661, 0.7500, 0.8257], [0.1411, 0.2500, 0.5513], [0.3589, 0.7500, 0.0513], [0.6411, 0.2500, 0.9487], [0.8589, 0.7500, 0.4487], [0.2493, 0.7500, 0.3611], [0.2507, 0.2500, 0.8611], [0.7493, 0.7500, 0.1389], [0.7507, 0.2500, 0.6389]]}

---

{"formula": "CsGdFeTe3", "functional": "GGA-PBE", "state": "optimized geometry", "total_energy_ev_per_atom": -4.77, "sg": "Pnma (62)", "cell": [[11.5961, 0.0000, 0.0000], [0.0000, 4.4281, 0.0000], [0.0000, 0.0000, 17.3262]], "species": ["Cs", "Cs", "Cs", "Cs", "Gd", "Gd", "Gd", "Gd", "Fe", "Fe", "Fe", "Fe", "Te", "Te", "Te", "Te", "Te", "Te", "Te", "Te", "Te", "Te", "Te", "Te"], "frac_coords": [[0.2345, 0.2500, 0.0052], [0.2655, 0.7500, 0.5052], [0.7345, 0.2500, 0.4948], [0.7655, 0.7500, 0.9948], [0.0156, 0.7500, 0.2521], [0.4844, 0.2500, 0.7521], [0.5156, 0.7500, 0.2479], [0.9844, 0.2500, 0.7479], [0.2367, 0.7500, 0.7799], [0.2633, 0.2500, 0.2799], [0.7367, 0.7500, 0.7201], [0.7633, 0.2500, 0.2201], [0.0508, 0.7500, 0.8661], [0.0811, 0.2500, 0.3695], [0.2357, 0.2500, 0.6892], [0.2643, 0.7500, 0.1892], [0.4189, 0.7500, 0.8695], [0.4492, 0.2500, 0.3661], [0.5508, 0.7500, 0.6339], [0.5811, 0.2500, 0.1305], [0.7357, 0.2500, 0.8108], [0.7643, 0.7500, 0.3108], [0.9189, 0.7500, 0.6305], [0.9492, 0.2500, 0.1339]]}

---

{"formula": "RbHoCd", "functional": "GGA-PBE", "state": "optimized geometry", "total_energy_ev_per_atom": -1.42, "sg": "F-43m (216)", "cell": [[0.0000, 3.8769, 3.8769], [3.8769, 0.0000, 3.8769], [3.8769, 3.8769, 0.0000]], "species": ["Rb", "Ho", "Cd"], "frac_coords": [[0.0000, 0.0000, 0.0000], [0.2500, 0.2500, 0.2500], [0.5000, 0.5000, 0.5000]]}

---

{"formula": "TbErAl4Cu2", "functional": "GGA-PBE", "state": "optimized geometry", "total_energy_ev_per_atom": -4.39, "sg": "Amm2 (38)", "cell": [[6.7834, 0.0000, 0.0000], [0.0000, 2.1062, 5.0467], [0.0000, -2.1062, 5.0467]], "species": ["Tb", "Er", "Al", "Al", "Al", "Al", "Cu", "Cu"], "frac_coords": [[0.0000, 0.0000, 0.0000], [0.5000, 0.8567, 0.8567], [0.1973, 0.2892, 0.2892], [0.3040, 0.5681, 0.5681], [0.6960, 0.5681, 0.5681], [0.8027, 0.2892, 0.2892], [0.0000, 0.7162, 0.7162], [0.5000, 0.1402, 0.1402]]}